V3AgO8: relaxed, PBE with a Hubbard U.

The value obtained for the distance to the lowest polymorph of the same formula is 0.0000 eV per atom. The value obtained for the total energy is -7.0166 eV per atom. Its total magnetic moment is 0.00 μB per formula unit.

The structure belongs to space group P2_1/m (No. 11); the cell edges are 7.377, 3.644 and 12.315 Å and the angles 90.00°, 107.10° and 90.00°. Symmetry generates all atoms from V at (0.114, 0.250, 0.423), V at (0.255, 0.250, 0.692), V at (0.319, 0.250, 0.958), Ag at (0.194, 0.750, 0.187), O at (0.044, 0.750, 0.428), O at (0.144, 0.250, 0.825), O at (0.174, 0.750, 0.673), O at (0.201, 0.250, 0.054), O at (0.216, 0.250, 0.319), O at (0.305, 0.250, 0.551), O at (0.398, 0.750, 0.960) and O at (0.473, 0.250, 0.777).